(1)
# LiBeCo (PBE, relaxed)
# * polymorph energy (0 for the lowest one): 33 meV/atom
# * space-group type: P3m1 (156)
data_LiBeCo
_chemical_formula_sum 'Li1 Be1 Co1'
_symmetry_space_group_name_H-M 'P 1'
_symmetry_Int_Tables_number 1
_symmetry_space_group_name_Hall 'P 1'
_cell_length_a 3.856
_cell_length_b 3.856
_cell_length_c 2.314
_cell_angle_alpha 90.00
_cell_angle_beta 90.00
_cell_angle_gamma 120.00
loop_
_atom_site_label
_atom_site_fract_x
_atom_site_fract_y
_atom_site_fract_z
_atom_site_occupancy
Be1 0.000 0.000 0.991 1
Co1 0.667 0.333 0.335 1
Li1 0.333 0.667 0.674 1


(2)
# Tb2Sm5Dy2 (PBE, relaxed)
# * polymorph energy (0 for the lowest one): 0 meV/atom
# * space-group type: P-1 (2)
data_Tb2Sm5Dy2
_chemical_formula_sum 'Tb2 Sm5 Dy2'
_symmetry_space_group_name_H-M 'P 1'
_symmetry_Int_Tables_number 1
_symmetry_space_group_name_Hall 'P 1'
_cell_length_a 3.598
_cell_length_b 16.871
_cell_length_c 16.936
_cell_angle_alpha 20.64
_cell_angle_beta 121.94
_cell_angle_gamma 122.06
loop_
_atom_site_label
_atom_site_fract_x
_atom_site_fract_y
_atom_site_fract_z
_atom_site_occupancy
Tb1 0.015 0.107 0.098 1
Tb2 0.985 0.893 0.902 1
Sm1 0.999 0.635 0.965 1
Sm2 0.001 0.365 0.035 1
Sm3 0.592 0.414 0.425 1
Sm4 0.408 0.586 0.575 1
Sm5 0.000 0.000 0.000 1
Dy1 0.480 0.857 0.535 1
Dy2 0.520 0.143 0.465 1


(3)
# K2Pr2SbS6 (PBE, relaxed)
# * raw formation energy: -1.334 eV per atom
# * space-group type: C2/m (12)
data_K2Pr2SbS6
_chemical_formula_sum 'K2 Pr2 Sb1 S6'
_symmetry_space_group_name_H-M 'P 1'
_symmetry_Int_Tables_number 1
_symmetry_space_group_name_Hall 'P 1'
_cell_length_a 7.103
_cell_length_b 7.103
_cell_length_c 7.920
_cell_angle_alpha 98.60
_cell_angle_beta 98.60
_cell_angle_gamma 119.43
loop_
_atom_site_label
_atom_site_fract_x
_atom_site_fract_y
_atom_site_fract_z
_atom_site_occupancy
K1 0.832 0.168 0.000 1
K2 0.168 0.832 0.000 1
Pr1 0.334 0.666 0.500 1
Pr2 0.666 0.334 0.500 1
Sb1 0.000 0.000 0.500 1
S1 0.758 0.758 0.697 1
S2 0.064 0.379 0.698 1
S3 0.242 0.242 0.303 1
S4 0.379 0.064 0.698 1
S5 0.936 0.621 0.302 1
S6 0.621 0.936 0.302 1


(4)
# Na2HPt (PBE, relaxed)
# * polymorph energy (0 for the lowest one): 0 meV/atom
# * space-group type: Cmcm (63)
data_Na2HPt
_chemical_formula_sum 'Na4 H2 Pt2'
_symmetry_space_group_name_H-M 'P 1'
_symmetry_Int_Tables_number 1
_symmetry_space_group_name_Hall 'P 1'
_cell_length_a 5.219
_cell_length_b 5.219
_cell_length_c 5.628
_cell_angle_alpha 90.00
_cell_angle_beta 90.00
_cell_angle_gamma 102.76
loop_
_atom_site_label
_atom_site_fract_x
_atom_site_fract_y
_atom_site_fract_z
_atom_site_occupancy
Na1 0.146 0.533 0.750 1
Na2 0.467 0.854 0.250 1
Na3 0.854 0.467 0.250 1
Na4 0.533 0.146 0.750 1
H1 0.841 0.841 0.750 1
H2 0.159 0.159 0.250 1
Pt1 0.000 0.000 0.500 1
Pt2 0.000 0.000 0.000 1


(5)
# Re2SnPdW (PBE, relaxed)
# * calculated total energy: -7.11 eV/atom
# * space-group type: P4/mmm (123)
data_Re2SnPdW
_chemical_formula_sum 'Re2 Sn1 Pd1 W1'
_symmetry_space_group_name_H-M 'P 1'
_symmetry_Int_Tables_number 1
_symmetry_space_group_name_Hall 'P 1'
_cell_length_a 4.750
_cell_length_b 4.733
_cell_length_c 4.750
_cell_angle_alpha 90.00
_cell_angle_beta 90.00
_cell_angle_gamma 90.00
loop_
_atom_site_label
_atom_site_fract_x
_atom_site_fract_y
_atom_site_fract_z
_atom_site_occupancy
Re1 0.000 0.000 0.500 1
Re2 0.500 0.000 0.000 1
Pd1 0.000 0.000 0.000 1
Sn1 0.500 0.500 0.500 1
W1 0.000 0.500 0.000 1


(6)
# CaTc (PBE, relaxed)
# * polymorph energy (0 for the lowest one): 203 meV/atom
# * space-group type: Cm (8)
data_CaTc
_chemical_formula_sum 'Ca3 Tc3'
_symmetry_space_group_name_H-M 'P 1'
_symmetry_Int_Tables_number 1
_symmetry_space_group_name_Hall 'P 1'
_cell_length_a 6.209
_cell_length_b 6.209
_cell_length_c 7.188
_cell_angle_alpha 72.75
_cell_angle_beta 72.75
_cell_angle_gamma 31.99
loop_
_atom_site_label
_atom_site_fract_x
_atom_site_fract_y
_atom_site_fract_z
_atom_site_occupancy
Ca1 0.054 0.054 0.936 1
Ca2 0.355 0.355 0.307 1
Ca3 0.345 0.345 0.766 1
Tc1 0.658 0.658 0.581 1
Tc2 0.078 0.078 0.411 1
Tc3 0.676 0.676 0.165 1


(7)
# Tb2Zn5Co5 (PBE, relaxed)
# * calculated total energy: -4.44 eV/atom
# * space-group type: Pmmm (47)
data_Tb2Zn5Co5
_chemical_formula_sum 'Tb2 Zn5 Co5'
_symmetry_space_group_name_H-M 'P 1'
_symmetry_Int_Tables_number 1
_symmetry_space_group_name_Hall 'P 1'
_cell_length_a 4.056
_cell_length_b 5.040
_cell_length_c 8.922
_cell_angle_alpha 90.00
_cell_angle_beta 90.00
_cell_angle_gamma 90.00
loop_
_atom_site_label
_atom_site_fract_x
_atom_site_fract_y
_atom_site_fract_z
_atom_site_occupancy
Tb1 0.000 0.500 0.000 1
Tb2 0.000 0.000 0.500 1
Zn1 0.000 0.500 0.331 1
Zn2 0.000 0.000 0.823 1
Zn3 0.000 0.000 0.177 1
Zn4 0.000 0.500 0.669 1
Zn5 0.500 0.000 0.000 1
Co1 0.500 0.500 0.500 1
Co2 0.500 0.754 0.260 1
Co3 0.500 0.246 0.740 1
Co4 0.500 0.246 0.260 1
Co5 0.500 0.754 0.740 1


(8)
# In5Ga2Bi5 (PBE, relaxed)
# * calculated total energy: -3.20 eV/atom
# * space-group type: C2/m (12)
data_In5Ga2Bi5
_chemical_formula_sum 'In5 Ga2 Bi5'
_symmetry_space_group_name_H-M 'P 1'
_symmetry_Int_Tables_number 1
_symmetry_space_group_name_Hall 'P 1'
_cell_length_a 5.503
_cell_length_b 5.502
_cell_length_c 13.228
_cell_angle_alpha 88.66
_cell_angle_beta 88.67
_cell_angle_gamma 63.04
loop_
_atom_site_label
_atom_site_fract_x
_atom_site_fract_y
_atom_site_fract_z
_atom_site_occupancy
In1 0.500 0.500 0.500 1
In2 0.338 0.338 0.054 1
In3 0.339 0.339 0.292 1
In4 0.661 0.661 0.708 1
In5 0.662 0.662 0.946 1
Ga1 0.961 0.961 0.772 1
Ga2 0.039 0.039 0.228 1
Bi1 0.841 0.841 0.407 1
Bi2 0.343 0.343 0.797 1
Bi3 0.657 0.657 0.203 1
Bi4 0.159 0.159 0.593 1
Bi5 0.000 0.000 0.000 1


(9)
# EuScZnGa (PBE, relaxed)
# * calculated total energy: -5.59 eV/atom
# * space-group type: F-43m (216)
data_EuScZnGa
_chemical_formula_sum 'Eu1 Sc1 Zn1 Ga1'
_symmetry_space_group_name_H-M 'P 1'
_symmetry_Int_Tables_number 1
_symmetry_space_group_name_Hall 'P 1'
_cell_length_a 5.016
_cell_length_b 5.016
_cell_length_c 5.016
_cell_angle_alpha 60.00
_cell_angle_beta 60.00
_cell_angle_gamma 60.00
loop_
_atom_site_label
_atom_site_fract_x
_atom_site_fract_y
_atom_site_fract_z
_atom_site_occupancy
Eu1 0.000 0.000 0.000 1
Sc1 0.500 0.500 0.500 1
Zn1 0.750 0.750 0.750 1
Ga1 0.250 0.250 0.250 1


(10)
# LaPr2RuO8 (PBE, relaxed)
# * raw formation energy: -2.268 eV per atom
# * space-group type: P-1 (2)
data_LaPr2RuO8
_chemical_formula_sum 'La1 Pr2 Ru1 O8'
_symmetry_space_group_name_H-M 'P 1'
_symmetry_Int_Tables_number 1
_symmetry_space_group_name_Hall 'P 1'
_cell_length_a 4.746
_cell_length_b 5.339
_cell_length_c 7.206
_cell_angle_alpha 87.22
_cell_angle_beta 88.89
_cell_angle_gamma 91.46
loop_
_atom_site_label
_atom_site_fract_x
_atom_site_fract_y
_atom_site_fract_z
_atom_site_occupancy
La1 0.000 0.000 0.500 1
Pr1 0.448 0.458 0.754 1
Pr2 0.552 0.542 0.246 1
Ru1 0.000 0.000 0.000 1
O1 0.096 0.752 0.208 1
O2 0.682 0.798 0.963 1
O3 0.820 0.175 0.192 1
O4 0.904 0.248 0.792 1
O5 0.318 0.202 0.037 1
O6 0.180 0.825 0.808 1
O7 0.620 0.732 0.517 1
O8 0.380 0.268 0.483 1


| no. | ρ (kg/m3) |
| --- | --- |
| 1 | 4172 |
| 2 | 7585 |
| 3 | 3368 |
| 4 | 5378 |
| 5 | 12152 |
| 6 | 4926 |
| 7 | 8553 |
| 8 | 8183 |
| 9 | 6178 |
| 10 | 5920 |